1.
VASP calculation (PBE) on an optimized crystal structure of HfSc3Cu2.

## Properties
total magnetic moment = 0.00 μB per cell
total energy = -38.15 eV/cell
DOS(E_F) = 5.77 states/eV/f.u.
calculated formation energy = -0.168 eV per atom
crystal system = tetragonal

Unit cell a=3.229 b=3.229 c=11.061 alpha=90.00 beta=90.00 gamma=90.00
Element x y z (fractional)
Hf1 0.000 0.000 0.000
Sc1 0.500 0.500 0.201
Sc2 0.500 0.500 0.500
Sc3 0.500 0.500 0.799
Cu1 0.000 0.000 0.353
Cu2 0.000 0.000 0.647

2.
VASP calculation (PBE) on an optimized crystal structure of HfSc3Cu3.

## Properties
total magnetic moment = 0.13 μB per cell
total energy = -83.53 eV/cell
DOS(E_F) = 6.45 states/eV/f.u.
calculated formation energy = -0.075 eV per atom
crystal system = orthorhombic

Unit cell a=6.515 b=6.515 c=6.251 alpha=90.00 beta=90.00 gamma=91.74
Element x y z (fractional)
Hf1 0.200 0.800 0.000
Hf2 0.800 0.200 0.000
Sc1 0.247 0.247 0.500
Sc2 0.274 0.726 0.500
Sc3 0.316 0.316 0.000
Sc4 0.684 0.684 0.000
Sc5 0.726 0.274 0.500
Sc6 0.753 0.753 0.500
Cu1 0.000 0.000 0.293
Cu2 0.000 0.000 0.707
Cu3 0.000 0.500 0.232
Cu4 0.000 0.500 0.768
Cu5 0.500 0.000 0.232
Cu6 0.500 0.000 0.768

3.
VASP calculation (PBE) on an optimized crystal structure of Hf2ScCu.

## Properties
total magnetic moment = 0.00 μB per cell
total energy = -58.46 eV/cell
DOS(E_F) = 6.21 states/eV/f.u.
calculated formation energy = 0.277 eV per atom
crystal system = tetragonal

Unit cell a=6.152 b=6.152 c=6.152 alpha=102.45 beta=102.45 gamma=124.66
Element x y z (fractional)
Hf1 0.070 0.125 0.445
Hf2 0.375 0.930 0.055
Hf3 0.680 0.625 0.555
Hf4 0.875 0.320 0.945
Sc1 0.250 0.750 0.500
Sc2 0.500 0.500 0.000
Cu1 0.000 0.000 0.000
Cu2 0.750 0.250 0.500

4.
VASP calculation (PBE) on an optimized crystal structure of HfSc2Cu3.

## Properties
total magnetic moment = 0.00 μB per cell
total energy = -36.17 eV/cell
DOS(E_F) = 5.65 states/eV/f.u.
calculated formation energy = -0.211 eV per atom
crystal system = orthorhombic

Unit cell a=7.358 b=7.358 c=3.170 alpha=90.00 beta=90.00 gamma=143.09
Element x y z (fractional)
Hf1 0.000 0.000 0.000
Sc1 0.332 0.668 0.000
Sc2 0.668 0.332 0.000
Cu1 0.162 0.838 0.500
Cu2 0.500 0.500 0.500
Cu3 0.838 0.162 0.500

5.
VASP calculation (PBE) on an optimized crystal structure of HfScCu.

## Properties
total magnetic moment = 0.00 μB per cell
total energy = -31.98 eV/cell
DOS(E_F) = 3.81 states/eV/f.u.
calculated formation energy = 1.464 eV per atom
crystal system = hexagonal

Unit cell a=4.052 b=4.052 c=10.890 alpha=90.00 beta=90.00 gamma=120.00
Element x y z (fractional)
Hf1 0.000 0.000 0.000
Hf2 0.000 0.000 0.500
Sc1 0.000 0.000 0.250
Sc2 0.000 0.000 0.750
Cu1 0.333 0.667 0.250
Cu2 0.667 0.333 0.750

6.
VASP calculation (PBE) on an optimized crystal structure of HfScCu.

## Properties
total magnetic moment = 0.00 μB per cell
total energy = -41.16 eV/cell
DOS(E_F) = 3.26 states/eV/f.u.
calculated formation energy = -0.066 eV per atom
crystal system = monoclinic

Unit cell a=5.644 b=5.644 c=5.949 alpha=121.22 beta=121.22 gamma=47.65
Element x y z (fractional)
Hf1 0.000 0.000 0.000
Hf2 0.731 0.731 0.087
Sc1 0.130 0.130 0.637
Sc2 0.399 0.399 0.548
Cu1 0.425 0.425 0.128
Cu2 0.714 0.714 0.509

7.
VASP calculation (PBE) on an optimized crystal structure of HfScCu2.

## Properties
total magnetic moment = 0.30 μB per cell
total energy = -25.19 eV/cell
DOS(E_F) = 5.02 states/eV/f.u.
calculated formation energy = -0.179 eV per atom
crystal system = tetragonal

Unit cell a=3.246 b=3.246 c=6.540 alpha=90.00 beta=90.00 gamma=90.00
Element x y z (fractional)
Hf1 0.000 0.000 0.000
Sc1 0.000 0.000 0.500
Cu1 0.500 0.500 0.239
Cu2 0.500 0.500 0.761

8.
VASP calculation (PBE) on an optimized crystal structure of HfScCu.

## Properties
total magnetic moment = 0.00 μB per cell
total energy = -41.39 eV/cell
DOS(E_F) = 1.98 states/eV/f.u.
calculated formation energy = -0.105 eV per atom
crystal system = monoclinic

Unit cell a=5.731 b=5.731 c=7.864 alpha=121.89 beta=121.89 gamma=32.44
Element x y z (fractional)
Hf1 0.000 0.000 0.000
Hf2 0.729 0.729 0.394
Sc1 0.303 0.303 0.109
Sc2 0.559 0.559 0.697
Cu1 0.019 0.019 0.388
Cu2 0.280 0.280 0.715

9.
VASP calculation (PBE) on an optimized crystal structure of HfSc2Cu.

## Properties
total magnetic moment = 0.00 μB per cell
total energy = -51.75 eV/cell
DOS(E_F) = 6.63 states/eV/f.u.
calculated formation energy = 0.210 eV per atom
crystal system = tetragonal

Unit cell a=6.124 b=6.124 c=6.124 alpha=102.88 beta=102.88 gamma=123.65
Element x y z (fractional)
Hf1 0.000 0.000 0.000
Hf2 0.750 0.250 0.500
Sc1 0.177 0.625 0.052
Sc2 0.375 0.427 0.552
Sc3 0.573 0.125 0.948
Sc4 0.875 0.823 0.448
Cu1 0.250 0.750 0.500
Cu2 0.500 0.500 0.000

10.
VASP calculation (PBE) on an optimized crystal structure of HfSc2Cu.

## Properties
total magnetic moment = 0.00 μB per cell
total energy = -27.13 eV/cell
DOS(E_F) = 5.18 states/eV/f.u.
calculated formation energy = -0.105 eV per atom
crystal system = tetragonal

Unit cell a=3.185 b=3.185 c=7.986 alpha=90.00 beta=90.00 gamma=90.00
Element x y z (fractional)
Hf1 0.000 0.000 0.000
Sc1 0.500 0.500 0.283
Sc2 0.500 0.500 0.717
Cu1 0.000 0.000 0.500

11.
VASP calculation (PBE) on an optimized crystal structure of HfScCu.

## Properties
total magnetic moment = 0.00 μB per cell
total energy = -41.39 eV/cell
DOS(E_F) = 4.45 states/eV/f.u.
calculated formation energy = -0.105 eV per atom
crystal system = orthorhombic

Unit cell a=5.997 b=5.997 c=4.544 alpha=90.00 beta=90.00 gamma=135.56
Element x y z (fractional)
Hf1 0.155 0.845 0.000
Hf2 0.845 0.155 0.000
Sc1 0.347 0.653 0.500
Sc2 0.653 0.347 0.500
Cu1 0.000 0.000 0.500
Cu2 0.500 0.500 0.000

12.
VASP calculation (PBE) on an optimized crystal structure of Hf2Sc2Cu.

## Properties
total magnetic moment = 0.00 μB per cell
total energy = -70.81 eV/cell
DOS(E_F) = 9.74 states/eV/f.u.
calculated formation energy = 0.252 eV per atom
crystal system = tetragonal

Unit cell a=6.808 b=6.808 c=4.685 alpha=90.00 beta=90.00 gamma=90.00
Element x y z (fractional)
Hf1 0.152 0.348 0.000
Hf2 0.348 0.848 0.000
Hf3 0.652 0.152 0.000
Hf4 0.848 0.652 0.000
Sc1 0.150 0.650 0.500
Sc2 0.350 0.150 0.500
Sc3 0.650 0.850 0.500
Sc4 0.850 0.350 0.500
Cu1 0.000 0.000 0.500
Cu2 0.500 0.500 0.500